<one>
The following is a PBE-GGA calculation of crystalline MnCuPd5 at its relaxed geometry, from the Alexandria database.

Cell lengths 6.939, 6.939, 11.999 Å; angles 39.20, 39.20, 63.06 degrees
Each line ends with the local moment (μB).
Fractional coordinates of all 14 atoms:
1 Pd 0.401 0.994 0.159  0.12
2 Pd 0.006 0.599 0.341  0.12
3 Pd 0.592 0.283 0.498  0.12
4 Pd 0.599 0.006 0.841  0.12
5 Pd 0.131 0.869 0.750  0.12
6 Pd 0.994 0.401 0.659  0.12
7 Pd 0.283 0.592 0.998  0.12
8 Pd 0.408 0.717 0.502  0.12
9 Pd 0.717 0.408 0.002  0.12
10 Pd 0.869 0.131 0.250  0.12
11 Cu 0.494 0.506 0.750  0.07
12 Cu 0.506 0.494 0.250  0.07
13 Mn 0.000 0.000 0.000  3.97
14 Mn 0.000 0.000 0.500  3.97

Results
Crystal system: monoclinic
Symmetry: C2/c, No. 15
Calculated volume in Å³/cell: 214.6



<two>
The following is a PBE-GGA calculation of crystalline MnCuPd5 at its relaxed geometry, from the Alexandria database.

Cell lengths 4.030, 4.030, 6.817 Å; angles 90.00, 90.00, 90.00 degrees
Each line ends with the local moment (μB).
Fractional coordinates of all 7 atoms:
1 Cu 0.000 0.000 0.000  0.10
2 Pd 0.500 0.000 0.225  0.20
3 Pd 0.000 0.500 0.225  0.20
4 Pd 0.000 0.500 0.775  0.20
5 Pd 0.500 0.000 0.775  0.20
6 Pd 0.000 0.000 0.500  0.26
7 Mn 0.500 0.500 0.500  3.93

Results
Crystal system: tetragonal
Symmetry: P4/mmm, No. 123
Calculated volume in Å³/cell: 110.7



Of all the structures shown, which is most stable? <one>, and <two> is the least stable.